The following is a GGA+U calculation of VSi2BO6 after structural relaxation, from Alexandria.

a = 7.043 Å, b = 7.043 Å, c = 5.426 Å
α = 109.94°, β = 109.94°, γ = 92.21°
Positions (direct):
V 0.117 0.883 0.750
V 0.883 0.117 0.250
Si 0.216 0.383 0.902
Si 0.383 0.216 0.402
Si 0.617 0.784 0.598
Si 0.784 0.617 0.098
B 0.212 0.788 0.250
B 0.788 0.212 0.750
O 0.012 0.766 0.288
O 0.203 0.627 0.988
O 0.234 0.988 0.212
O 0.325 0.343 0.194
O 0.343 0.325 0.694
O 0.373 0.797 0.512
O 0.627 0.203 0.488
O 0.657 0.675 0.306
O 0.675 0.657 0.806
O 0.766 0.012 0.788
O 0.797 0.373 0.012
O 0.988 0.234 0.712

Results
**Symmetry**: C2/c
**Electronic total energy**: -76.6 eV per formula unit
**Magnetization**: 4.0 μB/f.u.